Below is crystalline NiGe2AuO at its relaxed geometry, with properties calculated at the PBE with a Hubbard U level.

```
NiGe2AuO
1.0
5.077 0.000 0.000
0.000 3.903 0.000
0.000 0.000 5.077
O Ni Au Ge
1 1 1 2
Cartesian
0.000 1.952 0.000
2.538 1.952 2.538
0.000 0.000 0.000
2.538 0.000 0.000
0.000 0.000 2.538
```

Summary:
Its total DFT energy (no corrections) is -14.586 eV per formula unit.